Entry 1:
A geometry-optimized BaYAg2 structure. Source: the Alexandria database, functional PBE-GGA.

- calculated volume (Å³/atom) = 29.115
- electronic total energy (eV/f.u.) = -13.85
- distance to the lowest polymorph of the same formula (meV per atom) = 310
- formation energy from the elements (eV/atom) = 0.0609
- magnetic moment (Bohr magnetons per cell) = 1.4

Unit cell a=4.5622 b=4.5622 c=11.1908 alpha=90.00 beta=90.00 gamma=90.00
Space group I-4m2 (No. 119)
Asymmetric unit:
Ba  0.0000  0.0000  0.0000 (multiplicity 2)
Y  0.0000  0.5000  0.7500 (multiplicity 2)
Ag  0.0000  0.0000  0.5000 (multiplicity 2)
Ag  0.0000  0.5000  0.2500 (multiplicity 2)

---

Entry 2:
A geometry-optimized La2NdDy8 structure. Source: the Alexandria database, functional PBE-GGA.

- calculated volume (Å³/atom) = 33.422
- electronic total energy (eV/f.u.) = -50.14
- distance to the lowest polymorph of the same formula (meV per atom) = 90
- formation energy from the elements (eV/atom) = 0.1179
- magnetic moment (Bohr magnetons per cell) = 0.0

Unit cell a=5.5783 b=8.1851 c=16.1036 alpha=90.00 beta=90.00 gamma=90.00
Space group Immm (No. 71)
Asymmetric unit:
La  0.0000  0.0000  0.2007 (multiplicity 4)
Nd  0.0000  0.0000  0.5000 (multiplicity 2)
Dy  0.0000  0.2069  0.0000 (multiplicity 4)
Dy  0.0000  0.2934  0.3639 (multiplicity 8)
Dy  0.0000  0.5000  0.1596 (multiplicity 4)